# ScTcO2 (PBE, relaxed)
data_ScTcO2
_symmetry_space_group_name_H-M 'P 1'
_symmetry_Int_Tables_number 1
_cell_length_a 3.910
_cell_length_b 3.910
_cell_length_c 3.910
_cell_angle_alpha 60.00
_cell_angle_beta 60.00
_cell_angle_gamma 60.00
loop_
_symmetry_equiv_pos_as_xyz
'x,y,z'
loop_
_atom_site_label
_atom_site_type_symbol
_atom_site_fract_x
_atom_site_fract_y
_atom_site_fract_z
Sc1 Sc 0.000 0.000 0.000
Tc1 Tc 0.500 0.500 0.500
O1 O 0.250 0.250 0.250
O2 O 0.750 0.750 0.750
# - formation energy from raw total energies (eV per atom) = -1.244
# - energy above the lowest structure with this stoichiometry (eV per formula unit) = 2.901
# - uncorrected energy (eV per cell) = -31.589

# ScTcO4 (PBE, relaxed)
data_ScTcO4
_symmetry_space_group_name_H-M 'P 1'
_symmetry_Int_Tables_number 1
_cell_length_a 5.679
_cell_length_b 5.679
_cell_length_c 5.679
_cell_angle_alpha 107.57
_cell_angle_beta 107.57
_cell_angle_gamma 113.35
loop_
_symmetry_equiv_pos_as_xyz
'x,y,z'
loop_
_atom_site_label
_atom_site_type_symbol
_atom_site_fract_x
_atom_site_fract_y
_atom_site_fract_z
Sc1 Sc 0.259 0.259 0.000
Sc2 Sc 0.009 0.509 0.500
Tc1 Tc 0.748 0.748 0.000
Tc2 Tc 0.498 0.998 0.500
O1 O 0.266 0.959 0.693
O2 O 0.731 0.433 0.703
O3 O 0.709 0.516 0.193
O4 O 0.183 0.981 0.203
O5 O 0.323 0.516 0.807
O6 O 0.778 0.981 0.797
O7 O 0.731 0.028 0.297
O8 O 0.266 0.573 0.307
# - formation energy from raw total energies (eV per atom) = -2.215
# - energy above the lowest structure with this stoichiometry (eV per formula unit) = 0.000
# - uncorrected energy (eV per cell) = -99.642

# ScTcO2 (PBE, relaxed)
data_ScTcO2
_symmetry_space_group_name_H-M 'P 1'
_symmetry_Int_Tables_number 1
_cell_length_a 4.837
_cell_length_b 4.837
_cell_length_c 5.773
_cell_angle_alpha 65.23
_cell_angle_beta 65.23
_cell_angle_gamma 90.00
loop_
_symmetry_equiv_pos_as_xyz
'x,y,z'
loop_
_atom_site_label
_atom_site_type_symbol
_atom_site_fract_x
_atom_site_fract_y
_atom_site_fract_z
Sc1 Sc 0.500 0.500 0.000
Sc2 Sc 0.250 0.750 0.500
Tc1 Tc 0.000 0.000 0.000
Tc2 Tc 0.750 0.250 0.500
O1 O 0.608 0.125 0.250
O2 O 0.142 0.625 0.250
O3 O 0.375 0.392 0.750
O4 O 0.875 0.858 0.750
# - formation energy from raw total energies (eV per atom) = -1.529
# - energy above the lowest structure with this stoichiometry (eV per formula unit) = 1.759
# - uncorrected energy (eV per cell) = -65.463

# Sc4TcO2 (PBE, relaxed)
data_Sc4TcO2
_symmetry_space_group_name_H-M 'P 1'
_symmetry_Int_Tables_number 1
_cell_length_a 3.366
_cell_length_b 11.404
_cell_length_c 11.044
_cell_angle_alpha 90.00
_cell_angle_beta 90.00
_cell_angle_gamma 90.00
loop_
_symmetry_equiv_pos_as_xyz
'x,y,z'
loop_
_atom_site_label
_atom_site_type_symbol
_atom_site_fract_x
_atom_site_fract_y
_atom_site_fract_z
Sc1 Sc 0.750 0.113 0.475
Sc2 Sc 0.250 0.887 0.525
Sc3 Sc 0.750 0.000 0.750
Sc4 Sc 0.250 0.113 0.975
Sc5 Sc 0.250 0.387 0.975
Sc6 Sc 0.250 0.750 0.826
Sc7 Sc 0.750 0.887 0.025
Sc8 Sc 0.750 0.750 0.326
Sc9 Sc 0.750 0.500 0.750
Sc10 Sc 0.250 0.000 0.250
Sc11 Sc 0.750 0.387 0.475
Sc12 Sc 0.750 0.250 0.174
Sc13 Sc 0.250 0.250 0.674
Sc14 Sc 0.250 0.500 0.250
Sc15 Sc 0.750 0.613 0.025
Sc16 Sc 0.250 0.613 0.525
Tc1 Tc 0.750 0.250 0.853
Tc2 Tc 0.750 0.750 0.647
Tc3 Tc 0.250 0.250 0.353
Tc4 Tc 0.250 0.750 0.147
O1 O 0.250 0.446 0.620
O2 O 0.250 0.946 0.880
O3 O 0.750 0.946 0.380
O4 O 0.250 0.554 0.880
O5 O 0.750 0.554 0.380
O6 O 0.250 0.054 0.620
O7 O 0.750 0.054 0.120
O8 O 0.750 0.446 0.120
# - formation energy from raw total energies (eV per atom) = -1.725
# - uncorrected energy (eV per cell) = -230.722

# ScTc2O8 (PBE, relaxed)
data_ScTc2O8
_symmetry_space_group_name_H-M 'P 1'
_symmetry_Int_Tables_number 1
_cell_length_a 5.879
_cell_length_b 5.879
_cell_length_c 6.642
_cell_angle_alpha 90.00
_cell_angle_beta 90.00
_cell_angle_gamma 120.00
loop_
_symmetry_equiv_pos_as_xyz
'x,y,z'
loop_
_atom_site_label
_atom_site_type_symbol
_atom_site_fract_x
_atom_site_fract_y
_atom_site_fract_z
Sc1 Sc 0.000 0.000 0.500
Tc1 Tc 0.333 0.667 0.772
Tc2 Tc 0.667 0.333 0.228
O1 O 0.667 0.333 0.970
O2 O 0.333 0.667 0.030
O3 O 0.341 0.170 0.322
O4 O 0.659 0.830 0.678
O5 O 0.170 0.830 0.678
O6 O 0.830 0.170 0.322
O7 O 0.830 0.659 0.322
O8 O 0.170 0.341 0.678
# - formation energy from raw total energies (eV per atom) = -1.841
# - uncorrected energy (eV per cell) = -86.984

# ScTc3O (PBE, relaxed)
data_ScTc3O
_symmetry_space_group_name_H-M 'P 1'
_symmetry_Int_Tables_number 1
_cell_length_a 4.140
_cell_length_b 4.140
_cell_length_c 4.140
_cell_angle_alpha 90.00
_cell_angle_beta 90.00
_cell_angle_gamma 90.00
loop_
_symmetry_equiv_pos_as_xyz
'x,y,z'
loop_
_atom_site_label
_atom_site_type_symbol
_atom_site_fract_x
_atom_site_fract_y
_atom_site_fract_z
Sc1 Sc 0.500 0.500 0.500
Tc1 Tc 0.000 0.500 0.000
Tc2 Tc 0.000 0.000 0.500
Tc3 Tc 0.500 0.000 0.000
O1 O 0.000 0.000 0.000
# - formation energy from raw total energies (eV per atom) = -0.176
# - energy above the lowest structure with this stoichiometry (eV per formula unit) = 0.000
# - uncorrected energy (eV per cell) = -43.266

What is the formation energy from raw total energies in the second record?
-2.215 eV per atom